[1]
This record from the Alexandria database describes a relaxed CrTe2S crystal. The functional is PBE.

```
8
Lattice="6.362 0.000 0.000 0.000 6.362 0.000 3.181 3.181 5.628" Properties=species:S:1:pos:R:3 pbc="T T T"
S 3.181 6.362 2.814
S 3.181 3.181 0.000
Cr 0.000 0.000 0.000
Cr 6.362 3.181 2.814
Te 7.953 8.285 4.221
Te 5.104 1.591 1.407
Te 1.258 4.772 1.407
Te 4.772 4.440 4.221
```

Values from the calculation:
Magnetic moment, μB per formula unit: 0.00
DOS(E_F), states/eV per cell: 6.976
E, eV for the cell shown: -35.9
SG: I-42d (122)

[2]
This record from the Alexandria database describes a relaxed CrTeS3 crystal. The functional is PBE.

```
5
Lattice="4.516 0.000 0.000 0.000 4.516 0.000 0.000 0.000 4.516" Properties=species:S:1:pos:R:3 pbc="T T T"
S 0.000 2.258 0.000
S 0.000 0.000 2.258
S 2.258 0.000 0.000
Cr 0.000 0.000 0.000
Te 2.258 2.258 2.258
```

Values from the calculation:
Magnetic moment, μB per formula unit: 0.02
ΔE to the lowest computed polymorph, meV per atom: 0.0
DOS(E_F), states/eV per cell: 5.029
SG: Pm-3m (221)